No. 1
PrNdSc2Sb2: relaxed, GGA-PBE.

Results
calculated total energy = -0.218 Ha/atom

a b c (Å): 4.4626 4.4626 16.5827
angles (deg): 90.00 90.00 90.00
With the nearest neighbours (Å) after each atom.
Space group I4mm (No. 107)
Asymmetric unit:
Pr 0.0000 0.0000 0.0000 (multiplicity 2)  5 Sb 3.26-3.28
Nd 0.0000 0.0000 0.3510 (multiplicity 2)  5 Sb 3.26-3.29
Sc 0.0000 0.5000 0.1765 (multiplicity 4)  4 Sb 3.06-3.07, 4 Sc 3.16
Sb 0.0000 0.0000 0.5496 (multiplicity 2)  4 Sc 3.07, 4 Pr 3.26, 1 Nd 3.29
Sb 0.0000 0.0000 0.8025 (multiplicity 2)  4 Sc 3.06, 4 Nd 3.26, 1 Pr 3.28


No. 2
Ho3Si3Pd2: relaxed, GGA-PBE.

Results
calculated total energy = -0.221 Ha/atom

a b c (Å): 4.2409 10.4004 14.0427
angles (deg): 90.00 90.00 90.00
With the nearest neighbours (Å) after each atom.
Space group Cmcm (No. 63)
Asymmetric unit:
Ho 0.0000 0.0858 0.1112 (multiplicity 8)  6 Si 2.98-3.08, 4 Pd 3.04-3.15
Ho 0.0000 0.3634 0.2500 (multiplicity 4)  5 Si 2.98-3.07, 4 Pd 3.13
Si 0.0000 0.3416 0.7500 (multiplicity 4)  2 Pd 2.60
Si 0.0000 0.3949 0.0393 (multiplicity 8)  1 Si 2.45, 3 Pd 2.49-2.72
Pd 0.0000 0.2061 0.5944 (multiplicity 8)  4 Si 2.49-2.72


No. 3
Ag2HgS4: relaxed, GGA-PBE.

Results
calculated total energy = -0.116 Ha/atom

a b c (Å): 13.7788 3.7983 14.1838
angles (deg): 90.00 118.50 90.00
With the nearest neighbours (Å) after each atom.
Space group C2/m (No. 12)
Asymmetric unit:
Ag 0.1829 0.0000 0.3223 (multiplicity 4)  4 S 2.50-2.55
Ag 0.2061 0.0000 0.8411 (multiplicity 4)  5 S 2.55-2.73
Hg 0.0000 0.0000 0.5000 (multiplicity 2)  2 S 2.37
Hg 0.0000 0.5000 0.0000 (multiplicity 2)  4 S 2.65
S 0.0557 0.5000 0.3139 (multiplicity 4)  1 S 2.01
S 0.0778 0.5000 0.8316 (multiplicity 4)  1 S 2.01
S 0.1479 0.0000 0.1019 (multiplicity 4)  2 Ag 2.60, 2 Hg 2.65
S 0.1858 0.0000 0.6397 (multiplicity 4)  1 Hg 2.37, 2 Ag 2.50


No. 4
Gd2ZnHg: relaxed, GGA-PBE.

Results
calculated total energy = -0.115 Ha/atom
formation enthalpy at 0 K = -415 meV/atom

a b c (Å): 3.6563 3.6563 7.4107
angles (deg): 90.00 90.00 90.00
With the nearest neighbours (Å) after each atom.
Space group P4/mmm (No. 123)
Asymmetric unit:
Gd 0.0000 0.0000 0.2349 (multiplicity 2)  4 Zn 3.12, 4 Hg 3.25, 1 Gd 3.48
Zn 0.5000 0.5000 0.0000 (multiplicity 1)  8 Gd 3.12
Hg 0.5000 0.5000 0.5000 (multiplicity 1)  8 Gd 3.25


No. 5
YInGa4Co: relaxed, GGA-PBE.

Results
calculated total energy = -0.164 Ha/atom

a b c (Å): 4.3275 4.3275 6.8680
angles (deg): 90.00 90.00 90.00
With the nearest neighbours (Å) after each atom.
Space group P4/mmm (No. 123)
Asymmetric unit:
Y 0.0000 0.0000 0.0000 (multiplicity 1)  8 Ga 3.06, 4 In 3.06
In 0.5000 0.5000 0.0000 (multiplicity 1)  8 Ga 3.06, 4 Y 3.06
Ga 0.0000 0.5000 0.3145 (multiplicity 4)  2 Co 2.51, 1 Ga 2.55
Co 0.0000 0.0000 0.5000 (multiplicity 1)  8 Ga 2.51


No. 6
La2LuP3: relaxed, GGA-PBE.

Results
calculated total energy = -0.245 Ha/atom

a b c (Å): 4.1564 4.1564 10.1635
angles (deg): 90.00 90.00 120.00
With the nearest neighbours (Å) after each atom.
Space group P-3m1 (No. 164)
Asymmetric unit:
La 0.3333 0.6667 0.3239 (multiplicity 2)  6 P 2.98-2.99
Lu 0.0000 0.0000 0.0000 (multiplicity 1)  6 P 2.84
P 0.0000 0.0000 0.5000 (multiplicity 1)  6 La 2.99
P 0.3333 0.6667 0.8507 (multiplicity 2)  3 Lu 2.84, 3 La 2.98


No. 7
HoTmAg2Sn2: relaxed, GGA-PBE.

Results
calculated total energy = -0.160 Ha/atom

a b c (Å): 4.7140 4.7140 7.2787
angles (deg): 90.00 90.00 120.00
With the nearest neighbours (Å) after each atom.
Space group P3m1 (No. 156)
Asymmetric unit:
Ho 0.0000 0.0000 0.0000 (multiplicity 1)  3 Ag 3.05, 6 Sn 3.16-3.40
Tm 0.0000 0.0000 0.5003 (multiplicity 1)  3 Ag 3.05, 6 Sn 3.16-3.39
Ag 0.3333 0.6667 0.1898 (multiplicity 1)  4 Sn 2.80-2.99, 3 Ho 3.05
Ag 0.6667 0.3333 0.6885 (multiplicity 1)  4 Sn 2.80-2.97, 3 Tm 3.05
Sn 0.3333 0.6667 0.7789 (multiplicity 1)  4 Ag 2.80-2.99
Sn 0.6667 0.3333 0.2801 (multiplicity 1)  4 Ag 2.80-2.97


No. 8
BaThAs2: relaxed, GGA-PBE.

Results
calculated total energy = -0.220 Ha/atom

a b c (Å): 4.4363 4.4363 22.6674
angles (deg): 90.00 90.00 120.00
With the nearest neighbours (Å) after each atom.
Space group R-3m (No. 166, hexagonal axes)
Asymmetric unit:
Ba 0.0000 0.0000 0.0000 (multiplicity 3)  6 As 3.36
Th 0.0000 0.0000 0.5000 (multiplicity 3)  6 As 3.02
As 0.0000 0.0000 0.2373 (multiplicity 6)  3 Th 3.02, 3 Ba 3.36


No. 9
Pr4PO3: relaxed, GGA-PBE.

Results
calculated total energy = -0.264 Ha/atom

a b c (Å): 5.3659 5.3659 10.5152
angles (deg): 90.00 90.00 90.00
With the nearest neighbours (Å) after each atom.
Space group I4/mmm (No. 139)
Asymmetric unit:
Pr 0.0000 0.0000 0.2377 (multiplicity 4)  5 O 2.50-2.69, 1 P 2.76
Pr 0.0000 0.5000 0.0000 (multiplicity 4)  4 O 2.63-2.68, 2 P 2.68
P 0.0000 0.0000 0.5000 (multiplicity 2)  6 Pr 2.68-2.76
O 0.0000 0.0000 0.0000 (multiplicity 2)  6 Pr 2.50-2.68
O 0.0000 0.5000 0.2500 (multiplicity 4)  6 Pr 2.63-2.69


No. 10
NaLaHgS3: relaxed, GGA-PBE.

Results
calculated total energy = -0.161 Ha/atom

a b c (Å): 12.2555 4.2118 11.8174
angles (deg): 90.00 90.00 90.00
With the nearest neighbours (Å) after each atom.
Space group Pnma (No. 62)
Asymmetric unit:
Na 0.1330 0.2500 0.0134 (multiplicity 4)  5 S 2.87-3.00
La 0.0411 0.2500 0.6764 (multiplicity 4)  6 S 2.88-2.96
Hg 0.2385 0.2500 0.2955 (multiplicity 4)  4 S 2.48-2.65
S 0.0600 0.7500 0.8497 (multiplicity 4)  1 Hg 2.55
S 0.0821 0.2500 0.4292 (multiplicity 4)  1 Hg 2.48
S 0.2221 0.7500 0.1609 (multiplicity 4)  2 Hg 2.65, 1 La 2.91, 2 Na 2.94


No. 11
FeCoPt2: relaxed, GGA-PBE.

Results
calculated total energy = -0.260 Ha/atom
formation enthalpy at 0 K = -190 meV/atom

a b c (Å): 3.8280 3.8280 3.7369
angles (deg): 90.00 90.00 90.00
With the nearest neighbours (Å) after each atom.
Space group P4/mmm (No. 123)
Asymmetric unit:
Fe 0.0000 0.0000 0.0000 (multiplicity 1)  8 Pt 2.67, 4 Co 2.71
Co 0.5000 0.5000 0.0000 (multiplicity 1)  8 Pt 2.67, 4 Fe 2.71
Pt 0.0000 0.5000 0.5000 (multiplicity 2)  4 Fe 2.67, 4 Co 2.67, 4 Pt 2.71


No. 12
SiPtSe3: relaxed, GGA-PBE.

Results
calculated total energy = -0.170 Ha/atom

a b c (Å): 6.4208 6.4208 6.3650
angles (deg): 90.00 90.00 120.00
With the nearest neighbours (Å) after each atom.
Space group P-31m (No. 162)
Asymmetric unit:
Si 0.0000 0.0000 0.1889 (multiplicity 2)  3 Se 2.35, 1 Si 2.40
Pt 0.3333 0.6667 0.5000 (multiplicity 2)  6 Se 2.57
Se 0.0000 0.3597 0.7403 (multiplicity 6)  1 Si 2.35, 2 Pt 2.57